Compound: NaAg2I2
Source: Alexandria via LeMat-Bulk
Functional: PBE-GGA
Structure: relaxed

Cell lengths 5.7889, 5.7889, 6.1950 Å; angles 62.15, 62.15, 90.00 degrees
Element x y z (fractional)
I1 0.7500 0.2500 0.5000
I2 0.2500 0.7500 0.5000
Na1 0.0000 0.0000 0.0000
Ag1 0.3522 0.3522 0.2957
Ag2 0.6478 0.6478 0.7043

Spin magnetization: 0.0 μB/f.u.
Raw formation energy: -0.19 eV/atom
Symmetry: I4/mmm
Electronic total energy: -2.2163 eV per atom
Crystal system: tetragonal